Below is a geometry-optimized UTl2HgSe4 structure, with properties calculated at the PBE-GGA level.

a b c (Å): 4.1544 8.1322 7.4446
angles (deg): 70.31 90.00 90.00
Closest atoms and distances in Å follow each position.
Fractional positions:
1 U 0.0000 0.5000 0.5000  6 Se 2.83-2.86
2 Tl 0.0000 0.0000 0.0000  6 Se 3.30-3.53
3 Tl 0.5000 0.0000 0.5000  6 Se 3.20-3.31
4 Hg 0.5000 0.5000 0.0000  4 Se 2.86
5 Se 0.0000 0.6946 0.7566  2 Hg 2.86, 1 U 2.86
6 Se 0.0000 0.3054 0.2434  2 Hg 2.86, 1 U 2.86
7 Se 0.5000 0.7163 0.2888  2 U 2.83
8 Se 0.5000 0.2837 0.7112  2 U 2.83

Values from the calculation:
Crystal system   monoclinic
Uncorrected formation energy   -472 kJ/mol of formula units